The following is a PBE-GGA calculation of a relaxed structure of Pr2MgO, from Alexandria.

Cell: 3.6576 3.6576 9.6447 Å, 79.07 79.07 60.00°
Closest atoms and distances in Å follow each position.
Positions (direct):
O: 0.5000 0.5000 0.5000  6 Pr 2.52
Pr: 0.8818 0.8818 0.3546  3 O 2.52
Pr: 0.1182 0.1182 0.6454  3 O 2.52
Mg: 0.0000 0.0000 0.0000  2 Pr 3.34, 6 Mg 3.66

raw total energy = -5.065 eV/atom
M_tot = 0.00 μB per cell